# 1
Entry from Alexandria via LeMat-Bulk: Ca3SnAu2 after structural relaxation (PBE).

Values from the calculation:
DFT formation energy   -0.754 eV/atom
Magnetic moment   0.00 μB per formula unit

Lattice parameters (Å, degrees): 3.656 3.656 11.418 90.00 90.00 90.00
Positions (direct):
Ca: 0.000 0.000 0.000
Ca: 0.000 0.000 0.316
Ca: 0.000 0.000 0.684
Sn: 0.500 0.500 0.500
Au: 0.500 0.500 0.160
Au: 0.500 0.500 0.840

---

# 2
Entry from Alexandria via LeMat-Bulk: Li2TaPO6 after structural relaxation (PBE).

Values from the calculation:
Energy   -0.269 hartree per atom
Magnetic moment   0.00 μB per formula unit

Lattice parameters (Å, degrees): 5.012 5.012 4.406 90.00 90.00 90.00
Positions (direct):
Li: 0.000 0.500 0.000
Li: 0.500 0.000 0.000
Ta: 0.000 0.000 0.627
P: 0.500 0.500 0.622
O: 0.000 0.000 0.216
O: 0.271 0.271 0.734
O: 0.271 0.729 0.734
O: 0.500 0.500 0.278
O: 0.729 0.271 0.734
O: 0.729 0.729 0.734